Th3Cu2Pd4: relaxed, PBE-GGA.

Results
Spin magnetization: 0.000 Bohr magnetons per cell
E_form: -0.61 eV/atom

Geometry as CIF:
```
data_Th3Cu2Pd4
_space_group_name_H-M_alt 'P 1'
_space_group_IT_number 1
_space_group_name_Hall 'P 1'
_cell_length_a 4.656
_cell_length_b 5.522
_cell_length_c 8.663
_cell_angle_alpha 69.42
_cell_angle_beta 74.41
_cell_angle_gamma 65.07
loop_
_atom_site_label
_atom_site_type_symbol
_atom_site_fract_x
_atom_site_fract_y
_atom_site_fract_z
_atom_site_occupancy
Th1 Th 0.365 0.572 0.699 1
Th2 Th 0.000 0.000 0.000 1
Th3 Th 0.635 0.428 0.301 1
Cu1 Cu 0.310 0.007 0.373 1
Cu2 Cu 0.690 0.993 0.627 1
Pd1 Pd 0.289 0.348 0.073 1
Pd2 Pd 0.711 0.652 0.927 1
Pd3 Pd 0.068 0.235 0.629 1
Pd4 Pd 0.932 0.765 0.371 1
```

CeNd6Sm: relaxed, PBE-GGA.

Results
Energy above the lowest structure with this stoichiometry: 0.002 eV/atom
Spin magnetization: 1.183 Bohr magnetons per cell
E_form: 0.05 eV/atom

Geometry as CIF:
```
data_CeNd6Sm
_space_group_name_H-M_alt 'P 1'
_space_group_IT_number 1
_space_group_name_Hall 'P 1'
_cell_length_a 6.333
_cell_length_b 6.333
_cell_length_c 8.183
_cell_angle_alpha 105.02
_cell_angle_beta 105.02
_cell_angle_gamma 109.29
loop_
_atom_site_label
_atom_site_type_symbol
_atom_site_fract_x
_atom_site_fract_y
_atom_site_fract_z
_atom_site_occupancy
Ce1 Ce 0.000 0.000 0.000 1
Nd1 Nd 0.622 0.122 0.245 1
Nd2 Nd 0.878 0.378 0.755 1
Nd3 Nd 0.247 0.247 0.495 1
Nd4 Nd 0.122 0.622 0.245 1
Nd5 Nd 0.378 0.878 0.755 1
Nd6 Nd 0.753 0.753 0.505 1
Sm1 Sm 0.500 0.500 0.000 1
```

What is the formula in the first record? Th3Cu2Pd4

Which of these has the lowest spin magnetization? Th3Cu2Pd4

Among the records above, which one has the lowest spin magnetization? Th3Cu2Pd4